DFT (PBE-GGA) results for a relaxed structure of UBeNbO6.

Results
Magnetic moment = 1.00 μB per formula unit
E_form (uncorrected) = -2.664 eV/atom
Crystal system = trigonal
Calculated volume = 206.5 Å³/cell

Cell: 4.9867 4.9867 9.5912 Å, 90.00 90.00 120.00°
Site moments in Bohr magnetons follow the coordinates.
Fractional positions:
1 Be 0.3333 0.6667 0.7500  0.00
2 O 0.9826 0.6427 0.3627  -0.02
3 U 0.0000 0.0000 0.0000  1.10
4 Nb 0.6667 0.3333 0.7500  -0.01
5 Nb 0.3333 0.6667 0.2500  -0.01
6 O 0.3573 0.0174 0.1373  -0.02
7 O 0.3399 0.9826 0.6373  -0.02
8 O 0.6427 0.9826 0.8627  -0.02
9 O 0.6601 0.6427 0.1373  -0.02
10 Be 0.6667 0.3333 0.2500  0.00
11 O 0.0174 0.6601 0.8627  -0.02
12 O 0.9826 0.3399 0.1373  -0.02
13 O 0.6601 0.0174 0.3627  -0.02
14 O 0.3399 0.3573 0.8627  -0.02
15 O 0.0174 0.3573 0.6373  -0.02
16 O 0.3573 0.3399 0.3627  -0.02
17 O 0.6427 0.6601 0.6373  -0.02
18 U 0.0000 0.0000 0.5000  1.10